HgBi2TeN | PBE | relaxed

Cell: 5.143 5.143 4.718 Å, 90.00 90.00 90.00°
Positions (direct):
1 Hg 0.000 0.000 0.000
2 Bi 0.000 0.500 0.500
3 Bi 0.500 0.000 0.500
4 Te 0.500 0.500 0.000
5 N 0.000 0.000 0.500

Calculated values
Formation energy from raw total energies in meV per atom: 532